Computed, not measured: a relaxed structure of Ce12Tc6Os at the GGA-PBE level of DFT.

```
19
Lattice="6.193 3.575 3.866 -6.193 3.575 3.866 0.000 -7.151 3.866" Properties=species:S:1:pos:R:3 pbc="T T T"
Ce -5.245 -1.470 6.239
Ce -1.349 -5.277 5.359
Ce -2.332 -0.123 4.494
Ce -3.895 3.807 5.359
Ce 1.273 -1.958 4.494
Ce -1.059 -2.081 7.104
Ce 1.059 2.081 4.494
Ce -1.273 1.958 7.104
Ce 3.895 -3.807 6.239
Ce 2.332 0.123 7.104
Ce 1.349 5.277 6.239
Ce 5.245 1.470 5.359
Tc -0.936 -2.756 3.859
Tc -1.919 2.189 3.859
Tc -2.855 -0.567 7.739
Tc 2.855 0.567 3.859
Tc 1.919 -2.189 7.739
Tc 0.936 2.756 7.739
Os 0.000 0.000 0.000
```

Computed properties:
D(E_F) ... 2.183 states/eV/atom
Energy of formation ... 0.026 eV/atom
V ... 27.03 Å³ per atom

Computed, not measured: a relaxed structure of Ce6TcOs at the GGA-PBE level of DFT.

```
8
Lattice="3.154 -5.719 0.000 3.154 5.719 0.000 -2.728 0.000 5.686" Properties=species:S:1:pos:R:3 pbc="T T T"
Ce -0.473 2.318 4.271
Ce 0.875 0.000 1.439
Ce -0.473 -2.318 4.271
Ce 4.053 2.318 1.416
Ce 2.705 0.000 4.247
Ce 4.053 -2.318 1.416
Tc -1.364 0.000 2.843
Os 3.154 0.000 0.000
```

Computed properties:
D(E_F) ... 2.228 states/eV/atom
Distance to the lowest polymorph of the same formula ... 1.0 kJ per mole of atoms
Energy of formation ... 0.087 eV/atom
V ... 25.65 Å³ per atom

Computed, not measured: a relaxed structure of Ce6Tc2Os at the GGA-PBE level of DFT.

```
18
Lattice="6.143 0.000 0.000 0.000 7.573 0.000 -5.968 0.000 9.393" Properties=species:S:1:pos:R:3 pbc="T T T"
Ce -2.182 1.042 4.072
Ce -5.166 2.744 8.768
Ce -0.669 5.323 4.165
Ce -3.652 6.035 8.861
Ce 0.874 0.548 2.443
Ce -2.110 3.238 7.139
Ce 2.285 4.334 2.253
Ce -0.699 7.025 6.950
Ce 3.828 1.537 0.532
Ce 0.844 2.249 5.228
Ce 5.341 4.828 0.624
Ce 2.357 6.531 5.321
Tc -3.761 0.449 7.240
Tc -0.777 3.337 2.544
Tc 0.953 4.236 6.848
Tc 3.936 7.123 2.152
Os 0.000 0.000 0.000
Os -2.984 3.786 4.696
```

Computed properties:
D(E_F) ... 1.978 states/eV/atom
Distance to the lowest polymorph of the same formula ... 0.3 kJ per mole of atoms
Energy of formation ... -0.068 eV/atom
V ... 24.28 Å³ per atom

Computed, not measured: a relaxed structure of Ce5TcOs2 at the GGA-PBE level of DFT.

```
16
Lattice="2.729 -6.258 0.000 2.729 6.258 0.000 0.000 0.000 13.641" Properties=species:S:1:pos:R:3 pbc="T T T"
Ce 2.729 5.635 8.490
Ce 2.729 5.635 11.972
Ce 2.729 2.951 3.410
Ce 2.729 2.042 7.699
Ce 2.729 2.042 12.763
Ce 2.729 -2.042 0.878
Ce 2.729 -2.042 5.942
Ce 2.729 -2.951 10.231
Ce 2.729 -5.635 1.669
Ce 2.729 -5.635 5.151
Tc 2.729 3.876 10.231
Tc 2.729 -3.876 3.410
Os 2.729 4.379 0.869
Os 2.729 4.379 5.952
Os 2.729 -4.379 7.689
Os 2.729 -4.379 12.773
```

Computed properties:
D(E_F) ... 2.393 states/eV/atom
Energy of formation ... 0.007 eV/atom
V ... 29.13 Å³ per atom